{"formula": "Sr4NiRu3O12", "functional": "PBE with a Hubbard U", "state": "optimized geometry", "energy_ev_per_atom": -6.58, "sg": "Im-3m (229)", "rho_g_cm3": 6.01, "lattice": [[-1.262, 6.557, -1.631], [-5.935, -3.232, 1.256], [3.972, -0.243, 5.604]], "species": ["O", "O", "O", "Ru", "O", "O", "O", "O", "O", "O", "Sr", "Ni", "O", "Sr", "O", "Sr", "Sr", "O", "Ru", "Ru"], "fractional_positions": [[0.250, 0.750, 0.500], [0.256, 0.256, 0.000], [0.744, 0.744, 0.000], [0.500, 0.000, 0.500], [0.750, 0.500, 0.250], [0.750, 0.250, 0.500], [0.256, 0.000, 0.256], [0.000, 0.256, 0.256], [0.000, 0.744, 0.744], [0.250, 0.500, 0.750], [0.500, 0.500, 0.500], [0.000, 0.000, 0.000], [0.500, 0.750, 0.250], [0.500, 0.000, 0.000], [0.500, 0.250, 0.750], [0.000, 0.500, 0.000], [0.000, 0.000, 0.500], [0.744, 0.000, 0.744], [0.500, 0.500, 0.000], [0.000, 0.500, 0.500]]}